TiAlW2O8: optimized geometry, PBE+U.

Calculated values
crystal system: monoclinic
density: 7.25 Mg/m³
ΔE to the lowest computed polymorph: 0 meV/atom

Lattice parameters (Å, degrees): 5.0768 5.5811 10.4722 90.00 118.31 90.00
Last column: nearest neighbours and their distance in Å.
Space group P2/c (No. 13)
Symmetry-distinct sites (fractional):
Ti 0.0000 0.1366 0.2500 x2  6 O 1.94-2.00
Al 0.5000 0.1558 0.7500 x2  6 O 1.89-2.01
W 0.2570 0.3447 0.0017 x4  6 O 1.98-2.09
O 0.2066 0.3751 0.6156 x4  1 Al 1.93, 2 W 2.06-2.08
O 0.2246 0.1130 0.1364 x4  1 W 1.98, 1 Ti 2.00, 1 Al 2.01
O 0.2784 0.3740 0.3781 x4  1 Ti 1.94, 2 W 2.07-2.09
O 0.2897 0.1240 0.8575 x4  1 Al 1.89, 1 Ti 1.99, 1 W 2.02